Record 1
Density functional theory data (PBE-GGA) for a relaxed structure of NaAsRuO6.

Cell lengths 5.071, 5.071, 10.479 Å; angles 90.00, 90.00, 120.00 degrees
Positions (direct):
Na (0.000, 0.000, 0.000)
Na (0.000, 0.000, 0.500)
As (0.333, 0.667, 0.250)
As (0.667, 0.333, 0.750)
Ru (0.333, 0.667, 0.750)
Ru (0.667, 0.333, 0.250)
O (0.010, 0.387, 0.149)
O (0.010, 0.624, 0.351)
O (0.376, 0.387, 0.351)
O (0.376, 0.990, 0.149)
O (0.387, 0.010, 0.649)
O (0.387, 0.376, 0.851)
O (0.613, 0.624, 0.149)
O (0.613, 0.990, 0.351)
O (0.624, 0.010, 0.851)
O (0.624, 0.613, 0.649)
O (0.990, 0.376, 0.649)
O (0.990, 0.613, 0.851)

**Space group**: P-31c, No. 163

=====

Record 2
Density functional theory data (PBE-GGA) for a relaxed structure of NaAs2RuO8.

Cell lengths 5.751, 5.751, 5.751 Å; angles 106.59, 106.59, 115.41 degrees
Positions (direct):
Na (0.000, 0.000, 0.000)
As (0.500, 0.500, 0.000)
As (0.750, 0.250, 0.500)
Ru (0.250, 0.750, 0.500)
O (0.322, 0.125, 0.803)
O (0.322, 0.519, 0.197)
O (0.374, 0.053, 0.322)
O (0.481, 0.678, 0.803)
O (0.731, 0.053, 0.678)
O (0.875, 0.678, 0.197)
O (0.947, 0.269, 0.322)
O (0.947, 0.626, 0.678)

**Space group**: I-4m2, No. 119

=====

Record 3
Density functional theory data (PBE-GGA) for a relaxed structure of NaSbAsO5.

Cell lengths 5.837, 5.837, 7.612 Å; angles 104.92, 104.92, 104.15 degrees
Positions (direct):
Na (0.174, 0.826, 0.750)
Na (0.826, 0.174, 0.250)
Sb (0.500, 0.500, 0.000)
Sb (0.500, 0.500, 0.500)
As (0.176, 0.824, 0.250)
As (0.824, 0.176, 0.750)
O (0.119, 0.239, 0.915)
O (0.178, 0.613, 0.375)
O (0.239, 0.119, 0.415)
O (0.387, 0.822, 0.125)
O (0.428, 0.572, 0.750)
O (0.572, 0.428, 0.250)
O (0.613, 0.178, 0.875)
O (0.761, 0.881, 0.585)
O (0.822, 0.387, 0.625)
O (0.881, 0.761, 0.085)

**Space group**: C2/c, No. 15

=====

Record 4
Density functional theory data (PBE-GGA) for a relaxed structure of Na2SbAsO6.

Cell lengths 5.094, 5.094, 5.148 Å; angles 90.00, 90.00, 90.00 degrees
Positions (direct):
Na (0.000, 0.500, 0.000)
Na (0.500, 0.000, 0.000)
Sb (0.000, 0.000, 0.530)
As (0.500, 0.500, 0.543)
O (0.000, 0.000, 0.164)
O (0.259, 0.259, 0.669)
O (0.259, 0.741, 0.669)
O (0.500, 0.500, 0.214)
O (0.741, 0.259, 0.669)
O (0.741, 0.741, 0.669)

**Space group**: P4mm, No. 99

=====

Record 5
Density functional theory data (PBE-GGA) for a relaxed structure of NaSbAs2O8.

Cell lengths 9.318, 9.318, 9.318 Å; angles 30.65, 30.65, 30.65 degrees
Positions (direct):
Na (0.000, 0.000, 0.000)
Sb (0.500, 0.500, 0.500)
As (0.240, 0.240, 0.240)
As (0.760, 0.760, 0.760)
O (0.127, 0.472, 0.754)
O (0.246, 0.528, 0.873)
O (0.302, 0.302, 0.302)
O (0.472, 0.754, 0.127)
O (0.528, 0.873, 0.246)
O (0.698, 0.698, 0.698)
O (0.754, 0.127, 0.472)
O (0.873, 0.246, 0.528)

**Space group**: R32, No. 155

=====

Record 6
Density functional theory data (PBE-GGA) for a relaxed structure of NaScAsO4.

Cell lengths 6.248, 6.248, 6.248 Å; angles 119.13, 118.84, 91.77 degrees
Positions (direct):
Na (0.500, 0.000, 0.000)
Na (0.500, 0.500, 0.500)
Sc (0.000, 0.000, 0.000)
Sc (0.500, 0.000, 0.500)
As (0.123, 0.373, 0.750)
As (0.877, 0.627, 0.250)
O (0.223, 0.749, 0.474)
O (0.225, 0.251, 0.974)
O (0.241, 0.214, 0.473)
O (0.241, 0.768, 0.027)
O (0.759, 0.232, 0.973)
O (0.759, 0.786, 0.527)
O (0.775, 0.749, 0.026)
O (0.777, 0.251, 0.526)

**Space group**: Imma, No. 74

=====

Record 7
Density functional theory data (PBE-GGA) for a relaxed structure of NaScAs2O8.

Cell lengths 5.636, 5.636, 6.839 Å; angles 90.00, 90.00, 120.00 degrees
Positions (direct):
Na (0.000, 0.000, 0.000)
Sc (0.000, 0.000, 0.500)
As (0.333, 0.667, 0.236)
As (0.667, 0.333, 0.764)
O (0.163, 0.830, 0.309)
O (0.170, 0.333, 0.309)
O (0.333, 0.163, 0.691)
O (0.333, 0.667, 0.983)
O (0.667, 0.333, 0.017)
O (0.667, 0.837, 0.309)
O (0.830, 0.667, 0.691)
O (0.837, 0.170, 0.691)

**Space group**: P-3, No. 147

=====

Record 8
Density functional theory data (PBE-GGA) for a relaxed structure of Na2ScAsO4.

Cell lengths 5.886, 5.886, 5.886 Å; angles 126.64, 126.64, 78.84 degrees
Positions (direct):
Na (0.000, 0.000, 0.000)
Na (0.750, 0.250, 0.500)
Sc (0.500, 0.500, 0.000)
As (0.250, 0.750, 0.500)
O (0.183, 0.129, 0.561)
O (0.378, 0.817, 0.946)
O (0.568, 0.622, 0.439)
O (0.871, 0.432, 0.054)

**Space group**: I-4, No. 82

=====

| no. | total magnetization (μB/cell) | total energy (eV per atom) | E_form (uncorrected) (eV/f.u.) |
| --- | --- | --- | --- |
| 1 | 3.5 | -6.1063 | -9.96 |
| 2 | 2.4 | -5.7917 | -9.94 |
| 3 | 0.0 | -5.7676 | -11.26 |
| 4 | 0.0 | -5.4618 | -13.46 |
| 5 | 0.0 | -5.7456 | -14.54 |
| 6 | 0.5 | -6.5918 | -14.01 |
| 7 | 2.0 | -6.2265 | -18.10 |
| 8 | 0.0 | -6.0777 | -15.17 |